## MoSCl2O (PBE with a Hubbard U)

Data for a relaxed MoSCl2O crystal.

Cell and atoms, written as POSCAR:
```
MoSCl2O
1.0
-2.5971 -0.1457 3.7340
-0.5730 -4.4779 -0.5732
3.5143 -0.7588 2.4147
Mo S O Cl
1 1 1 2
direct
0.5000 0.5000 0.5000
0.0000 0.0000 0.5000
0.0000 0.0000 0.0000
0.0000 0.5000 0.0000
0.5000 0.0000 0.0000
```

Summary:
The density comes out at 3.979 g/cm3. For the energy above the most stable polymorph in this dataset, the calculation gives 0.000 eV per atom. The volume is 17.94 Å³/atom. The total magnetization comes out at 3.77 μB/f.u.